Computed, not measured: an optimized crystal structure of SrZr2Hg2 at the PBE-GGA level of DFT.

Unit cell a=8.8145 b=8.8145 c=3.2406 alpha=90.00 beta=90.00 gamma=90.00
With the nearest neighbours (Å) after each atom.
Fractional coordinates of all 10 atoms:
Zr  0.3833  0.8833  0.0000  3 Zr 2.91-3.24, 6 Hg 3.02-3.12
Sr  0.0000  0.0000  0.0000  2 Sr 3.24, 4 Zr 3.53, 8 Hg 3.62
Hg  0.3209  0.1791  0.5000  6 Zr 3.02-3.12, 2 Hg 3.24
Zr  0.6167  0.1167  0.0000  3 Zr 2.91-3.24, 6 Hg 3.02-3.12
Zr  0.8833  0.6167  0.0000  3 Zr 2.91-3.24, 6 Hg 3.02-3.12
Hg  0.8209  0.3209  0.5000  6 Zr 3.02-3.12, 2 Hg 3.24
Hg  0.1791  0.6791  0.5000  6 Zr 3.02-3.12, 2 Hg 3.24
Sr  0.5000  0.5000  0.0000  2 Sr 3.24, 4 Zr 3.53, 8 Hg 3.62
Hg  0.6791  0.8209  0.5000  6 Zr 3.02-3.12, 2 Hg 3.24
Zr  0.1167  0.3833  0.0000  3 Zr 2.91-3.24, 6 Hg 3.02-3.12

## Properties
**Space group**: No. 127
**Density**: 8.85 g cm⁻³
**N(E_F)**: 9.1 states/eV/cell
**Energy of formation from the pure elements**: -37 meV/atom
**Energy above the most stable polymorph in this dataset**: 0.000 eV/atom
**Calculated total energy**: -3.913 eV per atom